MgAsAu2 after structural relaxation, computed with PBE.

formation energy from the elements: -164 meV per atom
M_tot: 0.00 μB/f.u.

Lattice parameters (Å, degrees): 2.983 2.983 8.281 90.00 90.00 90.00
Space group P4/mmm (No. 123)
Asymmetric unit:
Mg 0.000 0.000 0.000 x1
As 0.000 0.000 0.500 x1
Au 0.500 0.500 0.229 x2